Ac3Pm6Er2 | GGA-PBE | optimized geometry

Calculated values
VASP energy: -0.3303 Ry/atom
calculated volume: 36.35 A^3/atom
formation enthalpy at 0 K: 47.3 meV per atom
DOS at the Fermi energy: 15.05 states/eV/f.u.
symmetry: R-3m, No. 166

Geometry as CIF:
```
data_Ac3Pm6Er2
_chemical_formula_sum 'Ac3 Pm6 Er2'
_cell_length_a 3.736
_cell_length_b 3.736
_cell_length_c 33.157
_cell_angle_alpha 86.77
_cell_angle_beta 86.77
_cell_angle_gamma 60.00
_space_group_name_H-M_alt 'P 1'
_space_group_IT_number 1
_space_group_name_Hall 'P 1'
loop_
_atom_site_label
_atom_site_type_symbol
_atom_site_fract_x
_atom_site_fract_y
_atom_site_fract_z
Er1 Er 0.544 0.544 0.369
Pm1 Pm 0.635 0.635 0.094
Pm2 Pm 0.182 0.182 0.455
Ac1 Ac 0.729 0.729 0.812
Pm3 Pm 0.365 0.365 0.906
Pm4 Pm 0.094 0.094 0.717
Pm5 Pm 0.818 0.818 0.545
Er2 Er 0.456 0.456 0.631
Ac2 Ac 0.271 0.271 0.188
Pm6 Pm 0.906 0.906 0.283
Ac3 Ac 0.000 0.000 0.000
```